# 1
# ErHfFeTc, optimized geometry, DFT PBE
data_ErHfFeTc
_space_group_name_H-M_alt 'F -4 3 m'
_space_group_IT_number 216
_space_group_name_Hall 'F -4 2 3'
_cell_length_a 6.5716
_cell_length_b 6.5716
_cell_length_c 6.5716
_cell_angle_alpha 90.00
_cell_angle_beta 90.00
_cell_angle_gamma 90.00
loop_
_atom_site_label
_atom_site_type_symbol
_atom_site_fract_x
_atom_site_fract_y
_atom_site_fract_z
Er1 Er 0.0000 0.0000 0.0000
Hf1 Hf 0.0000 0.0000 0.5000
Fe1 Fe 0.2500 0.2500 0.7500
Tc1 Tc 0.2500 0.2500 0.2500
# N(E_F) = 5.16 states/eV/f.u.
# Size of the total moment = 5.08 Bohr magnetons per cell
# Calculated total energy = -134.83 eV per cell

=====

# 2
# PmGdErLu, optimized geometry, DFT PBE
data_PmGdErLu
_space_group_name_H-M_alt 'F -4 3 m'
_space_group_IT_number 216
_space_group_name_Hall 'F -4 2 3'
_cell_length_a 7.9958
_cell_length_b 7.9958
_cell_length_c 7.9958
_cell_angle_alpha 90.00
_cell_angle_beta 90.00
_cell_angle_gamma 90.00
loop_
_atom_site_label
_atom_site_type_symbol
_atom_site_fract_x
_atom_site_fract_y
_atom_site_fract_z
Pm1 Pm 0.0000 0.0000 0.0000
Gd1 Gd 0.0000 0.0000 0.5000
Er1 Er 0.2500 0.2500 0.7500
Lu1 Lu 0.2500 0.2500 0.2500
# N(E_F) = 7.04 states/eV/f.u.
# Size of the total moment = 29.93 Bohr magnetons per cell
# Calculated total energy = -110.12 eV per cell

=====

# 3
# KScNb2, optimized geometry, DFT PBE
data_KScNb2
_space_group_name_H-M_alt 'I -4 2 d'
_space_group_IT_number 122
_space_group_name_Hall 'I -4 2bw'
_cell_length_a 4.5199
_cell_length_b 4.5199
_cell_length_c 21.4962
_cell_angle_alpha 90.00
_cell_angle_beta 90.00
_cell_angle_gamma 90.00
loop_
_atom_site_label
_atom_site_type_symbol
_atom_site_fract_x
_atom_site_fract_y
_atom_site_fract_z
K1 K 0.0000 0.0000 0.0000
Sc1 Sc 0.0000 0.0000 0.5000
Nb1 Nb 0.1208 0.7500 0.6250
# Distance to the lowest polymorph of the same formula = 0.0 meV per atom
# N(E_F) = 4.25 states/eV/f.u.
# Size of the total moment = 0.00 Bohr magnetons per cell
# Calculated total energy = -87.87 eV per cell

=====

# 4
# Fe5NiIr6, optimized geometry, DFT PBE
data_Fe5NiIr6
_space_group_name_H-M_alt 'C m m m'
_space_group_IT_number 65
_space_group_name_Hall '-C 2 2'
_cell_length_a 3.7891
_cell_length_b 11.3564
_cell_length_c 7.2505
_cell_angle_alpha 90.00
_cell_angle_beta 90.00
_cell_angle_gamma 90.00
loop_
_atom_site_label
_atom_site_type_symbol
_atom_site_fract_x
_atom_site_fract_y
_atom_site_fract_z
Fe1 Fe 0.0000 0.0000 0.0000
Fe2 Fe 0.0000 0.3311 0.0000
Fe3 Fe 0.0000 0.3343 0.5000
Ni1 Ni 0.0000 0.0000 0.5000
Ir1 Ir 0.0000 0.1666 0.2486
Ir2 Ir 0.0000 0.5000 0.2477
# N(E_F) = 12.76 states/eV/f.u.
# Size of the total moment = 21.69 Bohr magnetons per cell
# Calculated total energy = -203.26 eV per cell

=====

| no. | formation enthalpy at 0 K (meV/atom) |
| --- | --- |
| 1 | -91 |
| 2 | 96 |
| 3 | 1400 |
| 4 | -31 |